1.
# Dy4Ni2Au (PBE, relaxed)
data_Dy4Ni2Au
_chemical_formula_sum 'Dy8 Ni4 Au2'
_symmetry_space_group_name_H-M 'P 1'
_symmetry_Int_Tables_number 1
_cell_length_a 6.8657
_cell_length_b 7.1423
_cell_length_c 7.7900
_cell_angle_alpha 106.61
_cell_angle_beta 107.46
_cell_angle_gamma 105.77
loop_
_symmetry_equiv_pos_as_xyz
'x,y,z'
loop_
_atom_site_label
_atom_site_type_symbol
_atom_site_fract_x
_atom_site_fract_y
_atom_site_fract_z
Dy1 Dy 0.0000 0.0000 0.0000
Dy2 Dy 0.0213 0.4213 0.8299
Dy3 Dy 0.2721 0.8046 0.6860
Dy4 Dy 0.3611 0.5448 0.2894
Dy5 Dy 0.4369 0.1378 0.4643
Dy6 Dy 0.5782 0.5418 0.9046
Dy7 Dy 0.8074 0.3658 0.2519
Dy8 Dy 0.8863 0.9553 0.4277
Ni1 Ni 0.0690 0.7390 0.2187
Ni2 Ni 0.1871 0.3639 0.5237
Ni3 Ni 0.3584 0.2172 0.9630
Ni4 Ni 0.6610 0.1489 0.8348
Au1 Au 0.4598 0.8896 0.1079
Au2 Au 0.7665 0.6391 0.6153
# * DFT total energy: -72.71 eV/cell
# * mass density: 9.97 g/cm3

***

2.
# Dy2NiAu (PBE, relaxed)
data_Dy2NiAu
_chemical_formula_sum 'Dy4 Ni2 Au2'
_symmetry_space_group_name_H-M 'P 1 21/m 1'
_symmetry_Int_Tables_number 11
_cell_length_a 5.6031
_cell_length_b 4.4976
_cell_length_c 7.5089
_cell_angle_alpha 90.00
_cell_angle_beta 110.35
_cell_angle_gamma 90.00
loop_
_symmetry_equiv_pos_as_xyz
'x,y,z'
'-x,-y,-z'
'-x,y+1/2,-z'
'x,-y+1/2,z'
loop_
_atom_site_label
_atom_site_type_symbol
_atom_site_fract_x
_atom_site_fract_y
_atom_site_fract_z
Dy1 Dy 0.2106 0.2500 0.4329
Dy2 Dy 0.2304 0.2500 0.9263
Ni1 Ni 0.3395 0.7500 0.7084
Au1 Au 0.3361 0.7500 0.2130
# * DFT total energy: -41.72 eV/cell
# * mass density: 10.87 g/cm3

***

3.
# DyPaNiAu (PBE, relaxed)
data_DyPaNiAu
_chemical_formula_sum 'Dy4 Pa4 Ni4 Au4'
_symmetry_space_group_name_H-M 'F -4 3 m'
_symmetry_Int_Tables_number 216
_symmetry_space_group_name_Hall 'F -4 2 3'
_cell_length_a 7.0169
_cell_length_b 7.0169
_cell_length_c 7.0169
_cell_angle_alpha 90.00
_cell_angle_beta 90.00
_cell_angle_gamma 90.00
loop_
_atom_site_label
_atom_site_type_symbol
_atom_site_fract_x
_atom_site_fract_y
_atom_site_fract_z
Dy1 Dy 0.0000 0.0000 0.0000
Pa1 Pa 0.0000 0.0000 0.5000
Ni1 Ni 0.2500 0.2500 0.2500
Au1 Au 0.2500 0.2500 0.7500
# * DFT total energy: -97.05 eV/cell
# * mass density: 12.48 g/cm3

***

4.
# DyNiPbAu (PBE, relaxed)
data_DyNiPbAu
_chemical_formula_sum 'Dy4 Ni4 Pb4 Au4'
_symmetry_space_group_name_H-M 'F -4 3 m'
_symmetry_Int_Tables_number 216
_symmetry_space_group_name_Hall 'F -4 2 3'
_cell_length_a 6.9314
_cell_length_b 6.9314
_cell_length_c 6.9314
_cell_angle_alpha 90.00
_cell_angle_beta 90.00
_cell_angle_gamma 90.00
loop_
_atom_site_label
_atom_site_type_symbol
_atom_site_fract_x
_atom_site_fract_y
_atom_site_fract_z
Dy1 Dy 0.0000 0.0000 0.0000
Ni1 Ni 0.2500 0.2500 0.7500
Pb1 Pb 0.0000 0.0000 0.5000
Au1 Au 0.2500 0.2500 0.2500
# * DFT total energy: -74.97 eV/cell
# * mass density: 12.47 g/cm3

***

5.
# PmDyNiAu (PBE, relaxed)
data_PmDyNiAu
_chemical_formula_sum 'Pm4 Dy4 Ni4 Au4'
_symmetry_space_group_name_H-M 'F -4 3 m'
_symmetry_Int_Tables_number 216
_symmetry_space_group_name_Hall 'F -4 2 3'
_cell_length_a 7.1089
_cell_length_b 7.1089
_cell_length_c 7.1089
_cell_angle_alpha 90.00
_cell_angle_beta 90.00
_cell_angle_gamma 90.00
loop_
_atom_site_label
_atom_site_type_symbol
_atom_site_fract_x
_atom_site_fract_y
_atom_site_fract_z
Pm1 Pm 0.0000 0.0000 0.0000
Dy1 Dy 0.0000 0.0000 0.5000
Ni1 Ni 0.2500 0.2500 0.7500
Au1 Au 0.2500 0.2500 0.2500
# * mass density: 10.41 g/cm3
# * polymorph energy (0 for the lowest one): 59 meV/atom

***

6.
# PmDyNiAu (PBE, relaxed)
data_PmDyNiAu
_chemical_formula_sum 'Pm2 Dy2 Ni2 Au2'
_symmetry_space_group_name_H-M 'A m m 2'
_symmetry_Int_Tables_number 38
_cell_length_a 4.5972
_cell_length_b 3.8434
_cell_length_c 10.4846
_cell_angle_alpha 90.00
_cell_angle_beta 90.00
_cell_angle_gamma 90.00
loop_
_symmetry_equiv_pos_as_xyz
'x,y,z'
'-x,-y,z'
'-x,y,z'
'x,-y,z'
'x,y+1/2,z+1/2'
'-x,-y+1/2,z+1/2'
'-x,y+1/2,z+1/2'
'x,-y+1/2,z+1/2'
loop_
_atom_site_label
_atom_site_type_symbol
_atom_site_fract_x
_atom_site_fract_y
_atom_site_fract_z
Pm1 Pm 0.0000 0.0000 0.0000
Dy1 Dy 0.5000 0.0000 0.2805
Ni1 Ni 0.0000 0.0000 0.7243
Au1 Au 0.5000 0.0000 0.5665
# * mass density: 10.10 g/cm3
# * polymorph energy (0 for the lowest one): 0 meV/atom